[1]
Computed, not measured: crystalline LaSmPb at its relaxed geometry at the GGA-PBE level of DFT.

Unit cell a=6.7155 b=6.7155 c=8.9569 alpha=90.00 beta=90.07 gamma=90.00
With the nearest neighbours (Å) after each atom.
Space group C2/m (No. 12)
One atom of each set of equivalent atoms:
1 La 0.2490 0.0000 0.1530 (multiplicity 4)  5 Pb 3.39-3.42
2 Sm 0.0000 0.2500 0.5000 (multiplicity 4)  4 Sm 3.36, 4 Pb 3.42
3 Pb 0.2489 0.5000 0.2249 (multiplicity 4)  5 La 3.39-3.42, 4 Sm 3.42

ΔE to the lowest computed polymorph	0.0000	eV per atom
calculated volume	33.7	Å³ per atom
ΔE_f	-0.465	eV/atom
DOS at the Fermi energy	17.216	states/eV/cell
magnetization	0.0	μB per formula unit

***

[2]
Computed, not measured: crystalline LaSm4Pb5 at its relaxed geometry at the GGA-PBE level of DFT.

Unit cell a=3.5956 b=3.5956 c=22.9999 alpha=90.00 beta=90.00 gamma=90.00
With the nearest neighbours (Å) after each atom.
Space group P4/mmm (No. 123)
One atom of each set of equivalent atoms:
1 La 0.0000 0.0000 0.0000 (multiplicity 1)  8 Pb 3.49, 4 La 3.60
2 Sm 0.0000 0.0000 0.2026 (multiplicity 2)  8 Pb 3.41-3.42, 4 Sm 3.60
3 Sm 0.0000 0.0000 0.4010 (multiplicity 2)  8 Pb 3.41-3.42, 4 Sm 3.60
4 Pb 0.5000 0.5000 0.1040 (multiplicity 2)  4 Sm 3.41, 4 La 3.49, 4 Pb 3.60
5 Pb 0.5000 0.5000 0.3018 (multiplicity 2)  8 Sm 3.42, 4 Pb 3.60
6 Pb 0.5000 0.5000 0.5000 (multiplicity 1)  8 Sm 3.41, 4 Pb 3.60

calculated volume	29.7	Å³ per atom
ΔE_f	-0.511	eV/atom
DOS at the Fermi energy	8.674	states/eV/cell
magnetization	0.0	μB per formula unit

***

[3]
Computed, not measured: crystalline LaSmPb2 at its relaxed geometry at the GGA-PBE level of DFT.

Unit cell a=5.1464 b=5.1464 c=4.6118 alpha=90.00 beta=90.00 gamma=90.00
With the nearest neighbours (Å) after each atom.
Space group P4/mmm (No. 123)
One atom of each set of equivalent atoms:
1 La 0.0000 0.0000 0.0000 (multiplicity 1)  8 Pb 3.46, 4 Sm 3.64
2 Sm 0.5000 0.5000 0.0000 (multiplicity 1)  8 Pb 3.46, 4 La 3.64
3 Pb 0.0000 0.5000 0.5000 (multiplicity 2)  4 La 3.46, 4 Sm 3.46, 4 Pb 3.64

calculated volume	30.5	Å³ per atom
ΔE_f	-0.530	eV/atom
DOS at the Fermi energy	4.008	states/eV/cell
magnetization	0.0	μB per formula unit

***

[4]
Computed, not measured: crystalline La7Sm12Pb at its relaxed geometry at the GGA-PBE level of DFT.

Unit cell a=12.5167 b=12.5167 c=15.6918 alpha=90.00 beta=90.00 gamma=120.00
With the nearest neighbours (Å) after each atom.
Space group R-3 (No. 148, hexagonal axes)
One atom of each set of equivalent atoms:
1 La 0.0000 0.0000 0.0000 (multiplicity 3)  6 La 3.65, 6 Sm 3.71
2 La 0.0117 0.5820 0.6998 (multiplicity 18)  6 Sm 3.27-3.64, 1 La 3.65
3 Sm 0.0375 0.8506 0.8072 (multiplicity 18)  6 Sm 3.57-3.93, 5 La 3.62-3.91
4 Sm 0.0705 0.2620 0.4249 (multiplicity 18)  1 Pb 3.17, 2 La 3.27-3.40
5 Pb 0.0000 0.0000 0.5000 (multiplicity 3)  6 Sm 3.17

calculated volume	35.5	Å³ per atom
ΔE_f	0.132	eV/atom
DOS at the Fermi energy	107.185	states/eV/cell
magnetization	0.0	μB per formula unit

***

[5]
Computed, not measured: crystalline La2SmPb2 at its relaxed geometry at the GGA-PBE level of DFT.

Unit cell a=13.1823 b=4.9578 c=11.6241 alpha=90.00 beta=116.30 gamma=90.00
With the nearest neighbours (Å) after each atom.
Space group C2/m (No. 12)
One atom of each set of equivalent atoms:
1 La 0.0090 0.0000 0.1773 (multiplicity 4)  6 Pb 3.38-3.67, 2 Sm 3.72
2 La 0.1814 0.0000 0.5900 (multiplicity 4)  4 Pb 3.36-3.58
3 Sm 0.2110 0.5000 0.8505 (multiplicity 4)  4 Pb 3.09-3.23
4 Pb 0.0387 0.5000 0.3881 (multiplicity 4)  1 Pb 3.19, 1 Sm 3.23, 4 La 3.36-3.38
5 Pb 0.1324 0.5000 0.0771 (multiplicity 4)  3 Sm 3.09-3.23, 1 Pb 3.14, 2 La 3.44

ΔE to the lowest computed polymorph	0.0783	eV per atom
calculated volume	34.1	Å³ per atom
ΔE_f	-0.478	eV/atom
DOS at the Fermi energy	19.351	states/eV/cell
magnetization	0.0	μB per formula unit

***

[6]
Computed, not measured: crystalline LaSmPb at its relaxed geometry at the GGA-PBE level of DFT.

Unit cell a=5.3576 b=5.3576 c=3.9700 alpha=90.00 beta=90.00 gamma=120.00
With the nearest neighbours (Å) after each atom.
Space group P3m1 (No. 156)
One atom of each set of equivalent atoms:
1 La 0.0000 0.0000 0.0000 (multiplicity 1)  3 Pb 3.40, 6 Sm 3.56-3.80
2 Sm 0.6667 0.3333 0.5574 (multiplicity 1)  3 Pb 3.19, 3 La 3.56
3 Pb 0.3333 0.6667 0.3571 (multiplicity 1)  3 Sm 3.19, 3 La 3.40

ΔE to the lowest computed polymorph	0.2012	eV per atom
calculated volume	32.9	Å³ per atom
ΔE_f	-0.264	eV/atom
DOS at the Fermi energy	3.284	states/eV/cell
magnetization	0.0	μB per formula unit

***

[7]
Computed, not measured: crystalline LaSmPb at its relaxed geometry at the GGA-PBE level of DFT.

Unit cell a=4.5396 b=16.9476 c=4.9902 alpha=90.00 beta=90.00 gamma=90.00
With the nearest neighbours (Å) after each atom.
Space group Cmcm (No. 63)
One atom of each set of equivalent atoms:
1 La 0.0000 0.0714 0.2500 (multiplicity 4)  6 Pb 3.43-3.78, 2 La 3.48, 2 Sm 3.73
2 Sm 0.0000 0.2540 0.7500 (multiplicity 4)  4 Sm 3.38, 4 Pb 3.38-3.44, 2 La 3.73
3 Pb 0.0000 0.3935 0.2500 (multiplicity 4)  4 Sm 3.38-3.44, 6 La 3.43-3.78

ΔE to the lowest computed polymorph	0.0171	eV per atom
calculated volume	32.0	Å³ per atom
ΔE_f	-0.448	eV/atom
DOS at the Fermi energy	11.646	states/eV/cell
magnetization	0.0	μB per formula unit

***

[8]
Computed, not measured: crystalline LaSmPb2 at its relaxed geometry at the GGA-PBE level of DFT.

Unit cell a=3.6342 b=3.6342 c=9.2220 alpha=90.00 beta=90.00 gamma=90.00
With the nearest neighbours (Å) after each atom.
Space group P4/mmm (No. 123)
One atom of each set of equivalent atoms:
1 La 0.0000 0.0000 0.0000 (multiplicity 1)  8 Pb 3.49, 4 La 3.63
2 Sm 0.0000 0.0000 0.5000 (multiplicity 1)  8 Pb 3.41, 4 Sm 3.63
3 Pb 0.5000 0.5000 0.2567 (multiplicity 2)  4 Sm 3.41, 4 La 3.49, 4 Pb 3.63

calculated volume	30.4	Å³ per atom
ΔE_f	-0.537	eV/atom
DOS at the Fermi energy	3.988	states/eV/cell
magnetization	0.0	μB per formula unit

***

[9]
Computed, not measured: crystalline LaSmTePb at its relaxed geometry at the GGA-PBE level of DFT.

Unit cell a=4.5803 b=4.5803 c=22.3746 alpha=90.00 beta=90.00 gamma=120.00
With the nearest neighbours (Å) after each atom.
Space group R3m (No. 160, hexagonal axes)
One atom of each set of equivalent atoms:
1 La 0.0000 0.0000 0.0000 (multiplicity 3)  3 Pb 3.24, 3 Te 3.30
2 Sm 0.0000 0.0000 0.4956 (multiplicity 3)  3 Pb 3.18, 3 Te 3.23
3 Te 0.0000 0.0000 0.2452 (multiplicity 3)  3 Sm 3.23, 3 La 3.30
4 Pb 0.0000 0.0000 0.7504 (multiplicity 3)  3 Sm 3.18, 3 La 3.24

calculated volume	33.9	Å³ per atom
DOS at the Fermi energy	4.652	states/eV/cell
ΔE_f (raw)	-1056	meV per atom
magnetization	0.0	μB per formula unit

***

[10]
Computed, not measured: crystalline La3Sm3Tl2Pb at its relaxed geometry at the GGA-PBE level of DFT.

Unit cell a=8.8072 b=8.8072 c=4.4060 alpha=90.00 beta=90.00 gamma=120.00
With the nearest neighbours (Å) after each atom.
Space group P-62m (No. 189)
One atom of each set of equivalent atoms:
1 La 0.0000 0.7219 0.0000 (multiplicity 3)  2 Tl 3.21, 2 Pb 3.29, 2 Sm 3.59
2 Sm 0.0000 0.4003 0.5000 (multiplicity 3)  4 Tl 3.48, 1 Pb 3.53, 6 La 3.59-3.83
3 Tl 0.3333 0.6667 0.0000 (multiplicity 2)  3 La 3.21, 6 Sm 3.48
4 Pb 0.0000 0.0000 0.5000 (multiplicity 1)  6 La 3.29, 3 Sm 3.53

calculated volume	32.9	Å³ per atom
ΔE_f	-0.295	eV/atom
DOS at the Fermi energy	11.516	states/eV/cell
magnetization	0.0	μB per formula unit

***

[11]
Computed, not measured: crystalline LaSmTlPb at its relaxed geometry at the GGA-PBE level of DFT.

Unit cell a=5.1642 b=5.1642 c=9.0665 alpha=90.00 beta=90.00 gamma=90.00
With the nearest neighbours (Å) after each atom.
Space group I-4m2 (No. 119)
One atom of each set of equivalent atoms:
1 La 0.0000 0.0000 0.0000 (multiplicity 2)  4 Tl 3.44, 4 Pb 3.44, 4 Sm 3.65
2 Sm 0.0000 0.0000 0.5000 (multiplicity 2)  4 Tl 3.44, 4 Pb 3.44, 4 La 3.65
3 Tl 0.0000 0.5000 0.2500 (multiplicity 2)  4 La 3.44, 4 Sm 3.44, 4 Pb 3.65
4 Pb 0.0000 0.5000 0.7500 (multiplicity 2)  4 La 3.44, 4 Sm 3.44, 4 Tl 3.65

ΔE to the lowest computed polymorph	0.0000	eV per atom
calculated volume	30.2	Å³ per atom
ΔE_f	-0.478	eV/atom
DOS at the Fermi energy	6.368	states/eV/cell
magnetization	0.0	μB per formula unit

***

[12]
Computed, not measured: crystalline LaSmTlPb at its relaxed geometry at the GGA-PBE level of DFT.

Unit cell a=7.8838 b=7.8838 c=7.8838 alpha=90.00 beta=90.00 gamma=90.00
With the nearest neighbours (Å) after each atom.
Space group F-43m (No. 216)
One atom of each set of equivalent atoms:
1 La 0.0000 0.0000 0.0000 (multiplicity 4)  4 Tl 3.41, 4 Pb 3.41
2 Sm 0.0000 0.0000 0.5000 (multiplicity 4)  4 Tl 3.41, 4 Pb 3.41
3 Tl 0.2500 0.2500 0.2500 (multiplicity 4)  4 La 3.41, 4 Sm 3.41
4 Pb 0.2500 0.2500 0.7500 (multiplicity 4)  4 La 3.41, 4 Sm 3.41

ΔE to the lowest computed polymorph	0.0292	eV per atom
calculated volume	30.6	Å³ per atom
ΔE_f	-0.449	eV/atom
DOS at the Fermi energy	9.839	states/eV/cell
magnetization	0.0	μB per formula unit